Record 1
# GdDyPbC GGA-PBE relaxed
data_GdDyPbC
_symmetry_space_group_name_H-M 'P 1'
_symmetry_Int_Tables_number 1
_symmetry_space_group_name_Hall 'P 1'
_cell_length_a 3.656
_cell_length_b 3.656
_cell_length_c 16.256
_cell_angle_alpha 90.00
_cell_angle_beta 90.00
_cell_angle_gamma 120.00
loop_
_atom_site_label
_atom_site_fract_x
_atom_site_fract_y
_atom_site_fract_z
_atom_site_occupancy
Gd1 0.333 0.667 0.000 1
Gd2 0.667 0.333 0.500 1
Dy1 0.333 0.667 0.666 1
Dy2 0.667 0.333 0.166 1
Pb1 0.333 0.667 0.332 1
Pb2 0.667 0.333 0.832 1
C1 0.000 0.000 0.084 1
C2 0.000 0.000 0.584 1
# Total moment in μB/f.u.: 0.00

---

Record 2
# Gd3DyPb2C2 GGA-PBE relaxed
data_Gd3DyPb2C2
_symmetry_space_group_name_H-M 'P 1'
_symmetry_Int_Tables_number 1
_symmetry_space_group_name_Hall 'P 1'
_cell_length_a 3.664
_cell_length_b 3.664
_cell_length_c 16.300
_cell_angle_alpha 90.00
_cell_angle_beta 90.00
_cell_angle_gamma 120.00
loop_
_atom_site_label
_atom_site_fract_x
_atom_site_fract_y
_atom_site_fract_z
_atom_site_occupancy
Gd1 0.000 0.000 0.000 1
Gd2 0.000 0.000 0.334 1
Gd3 0.667 0.333 0.833 1
Dy1 0.667 0.333 0.499 1
Pb1 0.000 0.000 0.666 1
Pb2 0.667 0.333 0.167 1
C1 0.333 0.667 0.418 1
C2 0.333 0.667 0.917 1
# Total moment in μB/f.u.: 0.03

---

Record 3
# GdDyPbC GGA-PBE relaxed
data_GdDyPbC
_symmetry_space_group_name_H-M 'P 1'
_symmetry_Int_Tables_number 1
_symmetry_space_group_name_Hall 'P 1'
_cell_length_a 3.655
_cell_length_b 3.655
_cell_length_c 16.252
_cell_angle_alpha 90.00
_cell_angle_beta 90.00
_cell_angle_gamma 120.00
loop_
_atom_site_label
_atom_site_fract_x
_atom_site_fract_y
_atom_site_fract_z
_atom_site_occupancy
Gd1 0.000 0.000 0.167 1
Gd2 0.000 0.000 0.833 1
Dy1 0.667 0.333 0.333 1
Dy2 0.667 0.333 0.667 1
Pb1 0.000 0.000 0.500 1
Pb2 0.667 0.333 0.000 1
C1 0.333 0.667 0.251 1
C2 0.333 0.667 0.749 1
# Total moment in μB/f.u.: 0.00

---

Record 4
# GdDyCS GGA-PBE relaxed
data_GdDyCS
_symmetry_space_group_name_H-M 'P 1'
_symmetry_Int_Tables_number 1
_symmetry_space_group_name_Hall 'P 1'
_cell_length_a 3.728
_cell_length_b 3.728
_cell_length_c 13.003
_cell_angle_alpha 90.00
_cell_angle_beta 90.00
_cell_angle_gamma 120.00
loop_
_atom_site_label
_atom_site_fract_x
_atom_site_fract_y
_atom_site_fract_z
_atom_site_occupancy
Gd1 0.333 0.667 0.394 1
Gd2 0.667 0.333 0.606 1
Dy1 0.333 0.667 0.103 1
Dy2 0.667 0.333 0.897 1
C1 0.000 0.000 0.000 1
C2 0.000 0.000 0.500 1
S1 0.333 0.667 0.753 1
S2 0.667 0.333 0.247 1
# Total moment in μB/f.u.: 0.01

---

What did we get for total energy? Answer: -6.014; -6.010; -6.014; -6.882 eV/atom, in the order shown.